{"formula": "Cd5In2Ag4", "functional": "PBE", "state": "relaxed", "lattice_angstrom": [[-3.159, 2.503, 5.627], [3.048, -1.212, 4.288], [5.429, 4.730, 0.317]], "species": ["Cd", "Ag", "Cd", "In", "Cd", "Ag", "Cd", "Cd", "In", "Ag", "Ag"], "fractional_positions": [[0.576, 0.175, 0.124], [0.266, 0.447, 0.756], [0.096, 0.164, 0.080], [0.183, 0.502, 0.326], [0.904, 0.836, 0.920], [0.415, 0.820, 0.440], [0.000, 0.000, 0.500], [0.424, 0.825, 0.876], [0.817, 0.498, 0.674], [0.734, 0.553, 0.244], [0.585, 0.180, 0.560]], "dos_at_fermi_per_ev_cell": 3.9, "energy_ev_per_atom": -1.94, "ef_ev_per_atom": 0.02, "spacegroup": "P-1, No. 2"}

{"formula": "Tb3Nd2S4", "functional": "PBE", "state": "relaxed", "lattice_angstrom": [[-3.555, -0.791, 1.501], [-0.759, -6.782, -0.203], [1.916, -2.826, 8.215]], "species": ["Tb", "S", "Nd", "S", "Tb", "Nd", "S", "S", "Tb"], "fractional_positions": [[0.205, 0.395, 0.196], [0.199, 0.895, 0.707], [0.400, 0.798, 0.401], [0.801, 0.105, 0.293], [0.795, 0.605, 0.804], [0.600, 0.202, 0.599], [0.604, 0.698, 0.095], [0.396, 0.302, 0.905], [0.000, 0.000, 0.000]], "dos_at_fermi_per_ev_cell": 5.5, "e_form_raw_ev_per_atom": -1.7792, "energy_ev_per_atom": -6.22, "spacegroup": "C2/m, No. 12"}

{"formula": "Na2Ca2IrO6", "functional": "PBE", "state": "relaxed", "lattice_angstrom": [[-3.635, 0.866, 4.306], [-1.772, -3.023, -4.497], [3.333, -4.122, 2.526]], "species": ["O", "O", "O", "Ca", "O", "O", "Ca", "O", "Na", "Na", "Ir"], "fractional_positions": [[0.220, 0.220, 0.299], [0.658, 0.951, 0.304], [0.780, 0.780, 0.701], [0.663, 0.337, 0.500], [0.342, 0.049, 0.696], [0.049, 0.342, 0.696], [0.337, 0.663, 0.500], [0.951, 0.658, 0.304], [0.153, 0.847, 0.000], [0.847, 0.153, 0.000], [0.000, 0.000, 0.500]], "dos_at_fermi_per_ev_cell": 0.4, "e_form_raw_ev_per_atom": -1.7911, "energy_ev_per_atom": -5.90, "spacegroup": "C2/m, No. 12"}

{"formula": "Sc2MnBIr", "functional": "PBE", "state": "relaxed", "lattice_angstrom": [[-1.632, -0.085, -4.448], [-3.341, -3.105, 1.286], [-2.668, 3.251, 0.917]], "species": ["Mn", "B", "Sc", "Ir", "Sc"], "fractional_positions": [[0.000, 0.000, 0.000], [0.500, 0.500, 0.500], [0.500, 0.000, 0.000], [0.000, 0.000, 0.500], [0.000, 0.500, 0.000]], "dos_at_fermi_per_ev_cell": 4.6, "energy_ev_per_atom": -6.55, "ef_ev_per_atom": 0.92, "spacegroup": "P4/mmm, No. 123"}

{"formula": "LiY2MgS", "functional": "PBE", "state": "relaxed", "lattice_angstrom": [[5.352, 0.000, 0.000], [0.000, 5.352, 0.000], [0.000, 0.000, 4.446]], "species": ["S", "Y", "Mg", "Y", "Li"], "fractional_positions": [[0.000, 0.000, 0.000], [0.500, 0.000, 0.000], [0.500, 0.500, 0.500], [0.000, 0.500, 0.000], [0.000, 0.000, 0.500]], "dos_at_fermi_per_ev_cell": 4.8, "e_form_raw_ev_per_atom": -0.6923, "energy_ev_per_atom": -4.81, "spacegroup": "P4/mmm, No. 123"}

{"formula": "RbZn3Cl", "functional": "PBE", "state": "relaxed", "lattice_angstrom": [[6.703, 0.000, 0.000], [0.000, 6.703, 0.000], [0.000, 0.000, 6.703]], "species": ["Zn", "Zn", "Rb", "Cl", "Zn"], "fractional_positions": [[0.000, 0.000, 0.500], [0.500, 0.000, 0.000], [0.000, 0.000, 0.000], [0.500, 0.500, 0.500], [0.000, 0.500, 0.000]], "dos_at_fermi_per_ev_cell": 0.0, "e_form_raw_ev_per_atom": 0.3581, "energy_ev_per_atom": -0.97, "spacegroup": "Pm-3m, No. 221"}

{"formula": "YZn2Sb4", "functional": "PBE", "state": "relaxed", "lattice_angstrom": [[5.822, 0.000, 0.000], [0.000, 5.822, 0.000], [2.911, 2.911, 6.748]], "species": ["Sb", "Sb", "Sb", "Sb", "Zn", "Y", "Zn"], "fractional_positions": [[0.000, 0.500, 0.000], [0.221, 0.221, 0.558], [0.500, 0.000, 0.000], [0.779, 0.779, 0.442], [0.590, 0.590, 0.820], [0.000, 0.000, 0.000], [0.410, 0.410, 0.180]], "dos_at_fermi_per_ev_cell": 7.2, "e_form_raw_ev_per_atom": 0.2633, "energy_ev_per_atom": -3.38, "spacegroup": "I4/mmm, No. 139"}

{"formula": "LiReTe", "functional": "PBE", "state": "relaxed", "lattice_angstrom": [[-3.705, -2.422, -0.666], [0.266, -4.458, -0.306], [1.267, 3.976, 8.519]], "species": ["Te", "Li", "Re", "Te", "Li", "Re"], "fractional_positions": [[0.009, 0.009, 0.264], [0.214, 0.214, 0.071], [0.403, 0.403, 0.855], [0.991, 0.991, 0.736], [0.786, 0.786, 0.929], [0.597, 0.597, 0.145]], "dos_at_fermi_per_ev_cell": 6.1, "e_form_raw_ev_per_atom": 0.2255, "energy_ev_per_atom": -5.61, "spacegroup": "C2/m, No. 12"}

{"formula": "YCd2Si", "functional": "PBE", "state": "relaxed", "lattice_angstrom": [[-2.224, -3.444, 2.518], [6.322, -1.155, -0.589], [1.415, 1.191, 2.887]], "species": ["Si", "Y", "Cd", "Cd"], "fractional_positions": [[0.000, 0.500, 0.500], [0.500, 0.500, 0.000], [0.500, 0.000, 0.500], [0.000, 0.000, 0.000]], "dos_at_fermi_per_ev_cell": 2.2, "e_form_raw_ev_per_atom": -0.1009, "energy_ev_per_atom": -3.53, "spacegroup": "C2/m, No. 12"}

{"formula": "ZrMoAs2", "functional": "PBE", "state": "relaxed", "lattice_angstrom": [[5.600, 0.000, 0.000], [0.000, 5.600, 0.000], [2.800, 2.800, 6.388]], "species": ["As", "Zr", "Mo", "As", "Mo", "As", "Zr", "As"], "fractional_positions": [[0.092, 0.625, 0.250], [0.500, 0.500, 0.000], [0.000, 0.000, 0.000], [0.875, 0.908, 0.750], [0.750, 0.250, 0.500], [0.658, 0.125, 0.250], [0.250, 0.750, 0.500], [0.375, 0.342, 0.750]], "dos_at_fermi_per_ev_cell": 6.8, "energy_ev_per_atom": -7.05, "ef_ev_per_atom": 0.12, "spacegroup": "I-42d, No. 122"}

{"formula": "In2TcIr", "functional": "PBE", "state": "relaxed", "lattice_angstrom": [[3.224, 0.000, 0.000], [0.000, 3.225, 0.000], [0.000, 0.000, 6.691]], "species": ["In", "In", "Ir", "Tc"], "fractional_positions": [[0.000, 0.000, 0.003], [0.000, 0.000, 0.497], [0.500, 0.500, 0.250], [0.500, 0.500, 0.750]], "dos_at_fermi_per_ev_cell": 3.2, "energy_ev_per_atom": -5.99, "ef_ev_per_atom": 0.19, "spacegroup": "P4/mmm, No. 123"}

{"formula": "Sm2GaSi3Rh4", "functional": "PBE", "state": "relaxed", "lattice_angstrom": [[-1.327, 0.320, -3.959], [-3.314, -2.390, 0.918], [-5.161, 8.073, 2.384]], "species": ["Si", "Rh", "Rh", "Si", "Sm", "Rh", "Sm", "Ga", "Si", "Rh"], "fractional_positions": [[0.000, 0.000, 0.500], [0.500, 0.000, 0.634], [0.000, 0.500, 0.366], [0.000, 0.500, 0.127], [0.500, 0.000, 0.252], [0.500, 0.500, 0.000], [0.000, 0.500, 0.748], [0.500, 0.500, 0.500], [0.500, 0.000, 0.873], [0.000, 0.000, 0.000]], "dos_at_fermi_per_ev_cell": 5.7, "e_form_raw_ev_per_atom": -1.0088, "energy_ev_per_atom": -6.82, "spacegroup": "P-4m2, No. 115"}

{"formula": "ZrMo2", "functional": "PBE", "state": "relaxed", "lattice_angstrom": [[-2.566, 1.971, 0.099], [-1.080, -1.266, -2.777], [-0.771, -3.862, 3.948]], "species": ["Zr", "Mo", "Mo"], "fractional_positions": [[0.000, 0.000, 0.000], [0.320, 0.320, 0.640], [0.680, 0.680, 0.360]], "dos_at_fermi_per_ev_cell": 1.9, "energy_ev_per_atom": -10.15, "ef_ev_per_atom": -0.08, "spacegroup": "I4/mmm, No. 139"}

{"formula": "Y2TiCl", "functional": "PBE", "state": "relaxed", "lattice_angstrom": [[0.000, 3.730, 3.730], [3.730, 0.000, 3.730], [3.730, 3.730, 0.000]], "species": ["Cl", "Ti", "Y", "Y"], "fractional_positions": [[0.000, 0.000, 0.000], [0.500, 0.500, 0.500], [0.250, 0.250, 0.250], [0.750, 0.750, 0.750]], "dos_at_fermi_per_ev_cell": 7.3, "e_form_raw_ev_per_atom": 0.1262, "energy_ev_per_atom": -5.54, "spacegroup": "Fm-3m, No. 225"}

{"formula": "PaReSi2", "functional": "PBE", "state": "relaxed", "lattice_angstrom": [[3.283, 0.000, 0.000], [0.000, 4.743, 0.425], [0.000, -1.159, 4.619]], "species": ["Si", "Si", "Pa", "Re"], "fractional_positions": [[0.500, 0.119, 0.508], [0.500, 0.492, 0.881], [0.000, 0.995, 0.005], [0.500, 0.608, 0.392]], "dos_at_fermi_per_ev_cell": 4.3, "e_form_raw_ev_per_atom": -0.0897, "energy_ev_per_atom": -8.29, "spacegroup": "Amm2, No. 38"}

{"formula": "Hf2ReW", "functional": "PBE", "state": "relaxed", "lattice_angstrom": [[7.462, 0.000, 0.000], [0.000, 7.462, 0.000], [3.731, 3.731, 2.795]], "species": ["Hf", "Hf", "Hf", "Re", "Re", "Hf", "W", "W"], "fractional_positions": [[0.640, 0.125, 0.250], [0.110, 0.625, 0.250], [0.875, 0.890, 0.750], [0.000, 0.000, 0.000], [0.750, 0.250, 0.500], [0.375, 0.360, 0.750], [0.500, 0.500, 0.000], [0.250, 0.750, 0.500]], "dos_at_fermi_per_ev_cell": 9.8, "energy_ev_per_atom": -10.63, "ef_ev_per_atom": 0.70, "spacegroup": "I-42d, No. 122"}

{"formula": "Dy2Er6Tm5", "functional": "PBE", "state": "relaxed", "lattice_angstrom": [[-2.602, -2.132, 1.058], [6.348, -9.140, -2.807], [7.681, -0.288, 18.306]], "species": ["Er", "Er", "Tm", "Dy", "Er", "Tm", "Er", "Tm", "Tm", "Tm", "Tm", "Er", "Tm", "Er", "Tm", "Tm", "Er", "Er", "Dy", "Er", "Er", "Tm", "Er", "Er", "Dy", "Dy"], "fractional_positions": [[0.500, 0.828, 0.367], [0.000, 0.559, 0.419], [0.500, 0.000, 0.500], [0.000, 0.165, 0.789], [0.500, 0.328, 0.133], [0.500, 0.908, 0.774], [0.000, 0.085, 0.369], [0.500, 0.408, 0.726], [0.500, 0.592, 0.274], [0.500, 0.500, 0.000], [0.500, 0.198, 0.950], [0.500, 0.672, 0.867], [0.500, 0.802, 0.050], [0.000, 0.059, 0.081], [0.500, 0.698, 0.550], [0.500, 0.092, 0.226], [0.000, 0.441, 0.581], [0.000, 0.915, 0.631], [0.000, 0.335, 0.289], [0.000, 0.415, 0.869], [0.500, 0.172, 0.633], [0.500, 0.302, 0.450], [0.000, 0.941, 0.919], [0.000, 0.585, 0.131], [0.000, 0.665, 0.711], [0.000, 0.835, 0.211]], "dos_at_fermi_per_ev_cell": 31.7, "energy_ev_per_atom": -4.43, "ef_ev_per_atom": 0.10, "spacegroup": "Pbam, No. 55"}

{"formula": "Rb3Pa2Te6", "functional": "PBE", "state": "relaxed", "lattice_angstrom": [[5.769, 0.002, -1.133], [-0.220, 5.764, -1.133], [0.059, 0.062, 15.567]], "species": ["Te", "Pa", "Te", "Te", "Rb", "Te", "Pa", "Te", "Te", "Rb", "Rb"], "fractional_positions": [[0.582, 0.082, 0.164], [0.398, 0.398, 0.796], [0.418, 0.918, 0.836], [0.304, 0.304, 0.608], [0.821, 0.821, 0.641], [0.696, 0.696, 0.392], [0.602, 0.602, 0.204], [0.082, 0.582, 0.164], [0.918, 0.418, 0.836], [0.000, 0.000, 0.000], [0.179, 0.179, 0.359]], "dos_at_fermi_per_ev_cell": 9.0, "e_form_raw_ev_per_atom": -0.8696, "energy_ev_per_atom": -4.57, "spacegroup": "I4/mmm, No. 139"}

{"formula": "TiGaCuTc", "functional": "PBE", "state": "relaxed", "lattice_angstrom": [[3.349, 0.000, 0.000], [0.000, 4.006, 0.000], [0.000, 0.000, 4.224]], "species": ["Ti", "Ga", "Cu", "Tc"], "fractional_positions": [[0.500, 0.000, 0.500], [0.500, 0.500, 0.000], [0.000, 0.000, 0.000], [0.000, 0.500, 0.500]], "dos_at_fermi_per_ev_cell": 2.3, "energy_ev_per_atom": -6.67, "ef_ev_per_atom": -0.33, "spacegroup": "Pmmm, No. 47"}

{"formula": "Pa2Ge4Pd3", "functional": "PBE", "state": "relaxed", "lattice_angstrom": [[5.875, 0.000, 0.000], [0.000, 7.615, 0.000], [-2.938, 0.000, 7.419]], "species": ["Pa", "Ge", "Pd", "Pd", "Ge", "Pd", "Pd", "Pa", "Ge", "Pd", "Pa", "Ge", "Pa", "Ge", "Ge", "Pd", "Ge", "Ge"], "fractional_positions": [[0.112, 0.585, 0.224], [0.201, 0.750, 0.902], [0.030, 0.750, 0.560], [0.970, 0.250, 0.440], [0.679, 0.533, 0.357], [0.000, 0.000, 0.000], [0.530, 0.750, 0.560], [0.388, 0.085, 0.776], [0.299, 0.250, 0.098], [0.470, 0.250, 0.440], [0.888, 0.415, 0.776], [0.701, 0.750, 0.902], [0.612, 0.915, 0.224], [0.799, 0.250, 0.098], [0.821, 0.033, 0.643], [0.500, 0.500, 0.000], [0.179, 0.967, 0.357], [0.321, 0.467, 0.643]], "dos_at_fermi_per_ev_cell": 17.1, "energy_ev_per_atom": -6.48, "ef_ev_per_atom": -0.58, "spacegroup": "Cmce, No. 64"}

{"formula": "Sm5Zn4Co", "functional": "PBE", "state": "relaxed", "lattice_angstrom": [[3.580, 0.000, 0.000], [0.000, 3.580, 0.000], [0.000, 0.000, 18.226]], "species": ["Sm", "Sm", "Zn", "Sm", "Zn", "Sm", "Sm", "Co", "Zn", "Zn"], "fractional_positions": [[0.500, 0.500, 0.704], [0.500, 0.500, 0.090], [0.000, 0.000, 0.602], [0.500, 0.500, 0.910], [0.000, 0.000, 0.804], [0.500, 0.500, 0.500], [0.500, 0.500, 0.296], [0.000, 0.000, 0.000], [0.000, 0.000, 0.196], [0.000, 0.000, 0.398]], "dos_at_fermi_per_ev_cell": 9.7, "energy_ev_per_atom": -3.84, "ef_ev_per_atom": -0.26, "spacegroup": "P4/mmm, No. 123"}

{"formula": "MgNb3Ge", "functional": "PBE", "state": "relaxed", "lattice_angstrom": [[-2.706, -3.505, -1.636], [3.791, -2.799, -0.274], [-0.767, -1.472, 4.419]], "species": ["Nb", "Nb", "Ge", "Mg", "Nb"], "fractional_positions": [[0.500, 0.000, 0.000], [0.000, 0.000, 0.500], [0.500, 0.500, 0.500], [0.000, 0.000, 0.000], [0.000, 0.500, 0.000]], "dos_at_fermi_per_ev_cell": 6.2, "energy_ev_per_atom": -5.69, "ef_ev_per_atom": 1.59, "spacegroup": "Pm-3m, No. 221"}

{"formula": "Tb6SmHo2Er3", "functional": "PBE", "state": "relaxed", "lattice_angstrom": [[-1.017, -6.025, -0.589], [4.905, 2.555, -2.663], [4.929, -0.833, 10.627]], "species": ["Tb", "Er", "Ho", "Tb", "Sm", "Ho", "Tb", "Er", "Er", "Tb", "Tb", "Tb"], "fractional_positions": [[0.084, 0.418, 0.252], [0.167, 0.833, 0.500], [0.333, 0.667, 0.000], [0.418, 0.084, 0.252], [0.000, 0.000, 0.000], [0.667, 0.333, 0.000], [0.751, 0.751, 0.252], [0.500, 0.500, 0.500], [0.833, 0.167, 0.500], [0.582, 0.916, 0.748], [0.916, 0.582, 0.748], [0.249, 0.249, 0.748]], "dos_at_fermi_per_ev_cell": 15.4, "energy_ev_per_atom": -4.60, "ef_ev_per_atom": 0.02, "spacegroup": "C2/m, No. 12"}

{"formula": "Tb5NdHg2", "functional": "PBE", "state": "relaxed", "lattice_angstrom": [[3.754, 0.000, 0.000], [1.877, 8.042, -0.477], [1.877, 1.965, 7.812]], "species": ["Tb", "Hg", "Tb", "Tb", "Nd", "Hg", "Tb", "Tb"], "fractional_positions": [[0.362, 0.860, 0.415], [0.263, 0.237, 0.237], [0.362, 0.415, 0.860], [0.638, 0.585, 0.140], [0.000, 0.000, 0.000], [0.737, 0.763, 0.763], [0.000, 0.500, 0.500], [0.638, 0.140, 0.585]], "dos_at_fermi_per_ev_cell": 7.9, "energy_ev_per_atom": -3.74, "ef_ev_per_atom": -0.17, "spacegroup": "Immm, No. 71"}